# 1
Computed, not measured: a crystal of CaTaBiO5 relaxed with PBEsol at the meta-GGA SCAN level of DFT.

Output
Relative energy among the computed polymorphs: 0.000 eV per atom
N(E_F): 0.00 states/eV/f.u.
E_form (uncorrected): -2.61 eV per atom
Total DFT energy (no corrections): -1654.83 eV/cell
Total moment: 0.00 μB per atom
SG: Pbca (61)

Cell lengths 5.4656, 15.9909, 10.3194 Å; angles 90.00, 90.00, 90.00 degrees
With the nearest neighbours (Å) after each atom.
Positions (direct):
Ca (0.0281, 0.0703, 0.1347)  7 O 2.28-2.52
Ca (0.0281, 0.4297, 0.6347)  7 O 2.28-2.52
Ca (0.4719, 0.5703, 0.1347)  7 O 2.28-2.52
Ca (0.4719, 0.9297, 0.6347)  7 O 2.28-2.52
Ca (0.5281, 0.0703, 0.3653)  7 O 2.28-2.52
Ca (0.5281, 0.4297, 0.8653)  7 O 2.28-2.52
Ca (0.9719, 0.5703, 0.3653)  7 O 2.28-2.52
Ca (0.9719, 0.9297, 0.8653)  7 O 2.28-2.52
Ta (0.0334, 0.5733, 0.8823)  4 O 1.90-1.93
Ta (0.0334, 0.9267, 0.3823)  4 O 1.90-1.93
Ta (0.4666, 0.0733, 0.8823)  4 O 1.90-1.93
Ta (0.4666, 0.4267, 0.3823)  4 O 1.90-1.93
Ta (0.5334, 0.5733, 0.6177)  4 O 1.90-1.93
Ta (0.5334, 0.9267, 0.1177)  4 O 1.90-1.93
Ta (0.9666, 0.0733, 0.6177)  4 O 1.90-1.93
Ta (0.9666, 0.4267, 0.1177)  4 O 1.90-1.93
Bi (0.0432, 0.7443, 0.1432)  4 O 2.16-2.40
Bi (0.0432, 0.7557, 0.6432)  4 O 2.16-2.40
Bi (0.4568, 0.2443, 0.1432)  4 O 2.16-2.40
Bi (0.4568, 0.2557, 0.6432)  4 O 2.16-2.40
Bi (0.5432, 0.7443, 0.3568)  4 O 2.16-2.40
Bi (0.5432, 0.7557, 0.8568)  4 O 2.16-2.40
Bi (0.9568, 0.2443, 0.3568)  4 O 2.16-2.40
Bi (0.9568, 0.2557, 0.8568)  4 O 2.16-2.40
O (0.0949, 0.1760, 0.6891)  1 Ta 1.93
O (0.0949, 0.3240, 0.1891)  1 Ta 1.93
O (0.2138, 0.0294, 0.5042)  1 Ta 1.92
O (0.2138, 0.4706, 0.0042)  1 Ta 1.92
O (0.2267, 0.6409, 0.9933)  1 Ta 1.90
O (0.2267, 0.8591, 0.4933)  1 Ta 1.90
O (0.2392, 0.0237, 0.7612)  1 Ta 1.93
O (0.2392, 0.4763, 0.2612)  1 Ta 1.93
O (0.2459, 0.6667, 0.2772)  2 Bi 2.16-2.20, 1 Ca 2.33
O (0.2459, 0.8333, 0.7772)  2 Bi 2.16-2.20, 1 Ca 2.33
O (0.2541, 0.1667, 0.2772)  2 Bi 2.16-2.20, 1 Ca 2.33
O (0.2541, 0.3333, 0.7772)  2 Bi 2.16-2.20, 1 Ca 2.33
O (0.2608, 0.5237, 0.7612)  1 Ta 1.93
O (0.2608, 0.9763, 0.2612)  1 Ta 1.93
O (0.2733, 0.1409, 0.9933)  1 Ta 1.90
O (0.2733, 0.3591, 0.4933)  1 Ta 1.90
O (0.2862, 0.5294, 0.5042)  1 Ta 1.92
O (0.2862, 0.9706, 0.0042)  1 Ta 1.92
O (0.4051, 0.6760, 0.6891)  1 Ta 1.93
O (0.4051, 0.8240, 0.1891)  1 Ta 1.93
O (0.5949, 0.1760, 0.8109)  1 Ta 1.93
O (0.5949, 0.3240, 0.3109)  1 Ta 1.93
O (0.7138, 0.0294, 0.9958)  1 Ta 1.92
O (0.7138, 0.4706, 0.4958)  1 Ta 1.92
O (0.7267, 0.6409, 0.5067)  1 Ta 1.90
O (0.7267, 0.8591, 0.0067)  1 Ta 1.90
O (0.7392, 0.0237, 0.7388)  1 Ta 1.93
O (0.7392, 0.4763, 0.2388)  1 Ta 1.93
O (0.7459, 0.6667, 0.2228)  2 Bi 2.16-2.20, 1 Ca 2.33
O (0.7459, 0.8333, 0.7228)  2 Bi 2.16-2.20, 1 Ca 2.33
O (0.7541, 0.1667, 0.2228)  2 Bi 2.16-2.20, 1 Ca 2.33
O (0.7541, 0.3333, 0.7228)  2 Bi 2.16-2.20, 1 Ca 2.33
O (0.7608, 0.5237, 0.7388)  1 Ta 1.93
O (0.7608, 0.9763, 0.2388)  1 Ta 1.93
O (0.7733, 0.1409, 0.5067)  1 Ta 1.90
O (0.7733, 0.3591, 0.0067)  1 Ta 1.90
O (0.7862, 0.5294, 0.9958)  1 Ta 1.92
O (0.7862, 0.9706, 0.4958)  1 Ta 1.92
O (0.9051, 0.6760, 0.8109)  1 Ta 1.93
O (0.9051, 0.8240, 0.3109)  1 Ta 1.93

---

# 2
Computed, not measured: a crystal of CrMo2Rh relaxed with PBEsol at the meta-GGA SCAN level of DFT.

Output
Relative energy among the computed polymorphs: 0.048 eV per atom
N(E_F): 3.45 states/eV/f.u.
Total DFT energy (no corrections): -121.19 eV/cell
Total moment: 0.52 μB per atom
SG: C2/m (12)

Cell lengths 4.6967, 4.6967, 4.7026 Å; angles 98.47, 98.47, 33.06 degrees
With the nearest neighbours (Å) after each atom.
Positions (direct):
Cr (0.0000, 0.0000, 0.0000)  6 Mo 2.64-2.77, 2 Cr 2.67, 4 Rh 2.70
Mo (0.2436, 0.2436, 0.7501)  3 Cr 2.64-2.77, 6 Mo 2.67-2.72, 3 Rh 2.68-2.75
Mo (0.7564, 0.7564, 0.2499)  3 Cr 2.64-2.77, 6 Mo 2.67-2.72, 3 Rh 2.68-2.75
Rh (0.5000, 0.5000, 0.5000)  2 Rh 2.67, 6 Mo 2.68-2.75, 4 Cr 2.70

---

# 3
Computed, not measured: a crystal of Tl2PtI6 relaxed with PBEsol at the meta-GGA SCAN level of DFT.

Output
E_form (uncorrected): -0.41 eV per atom
Total DFT energy (no corrections): -878.05 eV/cell
Total moment: 0.00 μB per atom
SG: P4/mnc (128)

Cell lengths 7.2563, 7.2563, 11.7233 Å; angles 90.00, 90.00, 90.00 degrees
With the nearest neighbours (Å) after each atom.
Positions (direct):
Tl (0.0000, 0.5000, 0.2500)  8 I 3.54-3.64
Tl (0.0000, 0.5000, 0.7500)  8 I 3.54-3.64
Tl (0.5000, 0.0000, 0.2500)  8 I 3.54-3.64
Tl (0.5000, 0.0000, 0.7500)  8 I 3.54-3.64
Pt (0.0000, 0.0000, 0.0000)  6 I 2.67-2.68
Pt (0.5000, 0.5000, 0.5000)  6 I 2.67-2.68
I (0.0000, 0.0000, 0.2274)  1 Pt 2.67
I (0.0000, 0.0000, 0.7726)  1 Pt 2.67
I (0.1887, 0.3011, 0.5000)  1 Pt 2.68
I (0.1989, 0.3113, 0.0000)  1 Pt 2.68
I (0.3011, 0.8113, 0.5000)  1 Pt 2.68
I (0.3113, 0.8011, 0.0000)  1 Pt 2.68
I (0.5000, 0.5000, 0.2726)  1 Pt 2.67
I (0.5000, 0.5000, 0.7274)  1 Pt 2.67
I (0.6887, 0.1989, 0.0000)  1 Pt 2.68
I (0.6989, 0.1887, 0.5000)  1 Pt 2.68
I (0.8011, 0.6887, 0.0000)  1 Pt 2.68
I (0.8113, 0.6989, 0.5000)  1 Pt 2.68

---

# 4
Computed, not measured: a crystal of Si2Ge3P6O25 relaxed with PBEsol at the meta-GGA SCAN level of DFT.

Output
N(E_F): 0.00 states/eV/f.u.
E_form (uncorrected): -2.37 eV per atom
Total DFT energy (no corrections): -761.85 eV/cell
Total moment: 0.00 μB per atom
SG: P-31c (163)

Cell lengths 8.0099, 8.0099, 16.5439 Å; angles 90.00, 90.00, 120.00 degrees
With the nearest neighbours (Å) after each atom.
Positions (direct):
Si (0.0000, 0.0000, 0.1529)  4 O 1.61-1.62
Si (0.0000, 0.0000, 0.3471)  4 O 1.61-1.62
Si (0.0000, 0.0000, 0.6529)  4 O 1.61-1.62
Si (0.0000, 0.0000, 0.8471)  4 O 1.61-1.62
Ge (0.3333, 0.6667, 0.0242)  6 O 1.86-1.89
Ge (0.3333, 0.6667, 0.4758)  6 O 1.86-1.89
Ge (0.3333, 0.6667, 0.7500)  6 O 1.86
Ge (0.6667, 0.3333, 0.2500)  6 O 1.86
Ge (0.6667, 0.3333, 0.5242)  6 O 1.86-1.89
Ge (0.6667, 0.3333, 0.9758)  6 O 1.86-1.89
P (0.0479, 0.3862, 0.8922)  4 O 1.52-1.58
P (0.0479, 0.6617, 0.6078)  4 O 1.52-1.58
P (0.3383, 0.3862, 0.6078)  4 O 1.52-1.58
P (0.3383, 0.9521, 0.8922)  4 O 1.52-1.58
P (0.3862, 0.0479, 0.3922)  4 O 1.52-1.58
P (0.3862, 0.3383, 0.1078)  4 O 1.52-1.58
P (0.6138, 0.6617, 0.8922)  4 O 1.52-1.58
P (0.6138, 0.9521, 0.6078)  4 O 1.52-1.58
P (0.6617, 0.0479, 0.1078)  4 O 1.52-1.58
P (0.6617, 0.6138, 0.3922)  4 O 1.52-1.58
P (0.9521, 0.3383, 0.3922)  4 O 1.52-1.58
P (0.9521, 0.6138, 0.1078)  4 O 1.52-1.58
O (0.0000, 0.0000, 0.2500)  2 Si 1.61
O (0.0000, 0.0000, 0.7500)  2 Si 1.61
O (0.0460, 0.2071, 0.3831)  1 P 1.58, 1 Si 1.62
O (0.0460, 0.8388, 0.1169)  1 P 1.58, 1 Si 1.62
O (0.1157, 0.5413, 0.4101)  1 P 1.52
O (0.1157, 0.5744, 0.0899)  1 P 1.52
O (0.1368, 0.4715, 0.8106)  1 P 1.52
O (0.1368, 0.6653, 0.6894)  1 P 1.52
O (0.1612, 0.2071, 0.1169)  1 P 1.58, 1 Si 1.62
O (0.1612, 0.9540, 0.3831)  1 P 1.58, 1 Si 1.62
O (0.1993, 0.4442, 0.9593)  1 P 1.53
O (0.1993, 0.7551, 0.5407)  1 P 1.53
O (0.2071, 0.0460, 0.8831)  1 P 1.58, 1 Si 1.62
O (0.2071, 0.1612, 0.6169)  1 P 1.58, 1 Si 1.62
O (0.2449, 0.4442, 0.5407)  1 P 1.53
O (0.2449, 0.8007, 0.9593)  1 P 1.53
O (0.3347, 0.4715, 0.6894)  1 P 1.52
O (0.3347, 0.8632, 0.8106)  1 P 1.52
O (0.4256, 0.5413, 0.0899)  1 P 1.52
O (0.4256, 0.8843, 0.4101)  1 P 1.52
O (0.4442, 0.1993, 0.4593)  1 P 1.53
O (0.4442, 0.2449, 0.0407)  1 P 1.53
O (0.4587, 0.5744, 0.4101)  1 P 1.52
O (0.4587, 0.8843, 0.0899)  1 P 1.52
O (0.4715, 0.1368, 0.3106)  1 P 1.52
O (0.4715, 0.3347, 0.1894)  1 P 1.52
O (0.5285, 0.6653, 0.8106)  1 P 1.52
O (0.5285, 0.8632, 0.6894)  1 P 1.52
O (0.5413, 0.1157, 0.9101)  1 P 1.52
O (0.5413, 0.4256, 0.5899)  1 P 1.52
O (0.5558, 0.7551, 0.9593)  1 P 1.53
O (0.5558, 0.8007, 0.5407)  1 P 1.53
O (0.5744, 0.1157, 0.5899)  1 P 1.52
O (0.5744, 0.4587, 0.9101)  1 P 1.52
O (0.6653, 0.1368, 0.1894)  1 P 1.52
O (0.6653, 0.5285, 0.3106)  1 P 1.52
O (0.7551, 0.1993, 0.0407)  1 P 1.53
O (0.7551, 0.5558, 0.4593)  1 P 1.53
O (0.7929, 0.8388, 0.3831)  1 P 1.58, 1 Si 1.62
O (0.7929, 0.9540, 0.1169)  1 P 1.58, 1 Si 1.62
O (0.8007, 0.2449, 0.4593)  1 P 1.53
O (0.8007, 0.5558, 0.0407)  1 P 1.53
O (0.8388, 0.0460, 0.6169)  1 P 1.58, 1 Si 1.62
O (0.8388, 0.7929, 0.8831)  1 P 1.58, 1 Si 1.62
O (0.8632, 0.3347, 0.3106)  1 P 1.52
O (0.8632, 0.5285, 0.1894)  1 P 1.52
O (0.8843, 0.4256, 0.9101)  1 P 1.52
O (0.8843, 0.4587, 0.5899)  1 P 1.52
O (0.9540, 0.1612, 0.8831)  1 P 1.58, 1 Si 1.62
O (0.9540, 0.7929, 0.6169)  1 P 1.58, 1 Si 1.62

---

# 5
Computed, not measured: a crystal of SrZnCu2Rh relaxed with PBEsol at the meta-GGA SCAN level of DFT.

Output
N(E_F): 2.41 states/eV/f.u.
Total DFT energy (no corrections): -90.26 eV/cell
Total moment: 0.40 μB per atom
SG: P4/mmm (123)

Cell lengths 4.8181, 4.8181, 5.1124 Å; angles 90.00, 90.00, 90.00 degrees
With the nearest neighbours (Å) after each atom.
Positions (direct):
Sr (0.0000, 0.0000, 0.0000)  4 Cu 2.41, 2 Zn 2.56
Zn (0.0000, 0.0000, 0.5000)  2 Sr 2.56
Cu (0.0000, 0.5000, 0.0000)  2 Sr 2.41
Cu (0.5000, 0.0000, 0.0000)  2 Sr 2.41
Rh (0.5000, 0.5000, 0.5000)  4 Zn 3.41, 8 Cu 3.51

---

# 6
Computed, not measured: a crystal of Ba2TlAg relaxed with PBEsol at the meta-GGA SCAN level of DFT.

Output
Relative energy among the computed polymorphs: 0.029 eV per atom
N(E_F): 3.37 states/eV/f.u.
Total DFT energy (no corrections): -184.35 eV/cell
Total moment: 0.00 μB per atom
SG: Fm-3m (225)

Cell lengths 5.8049, 5.8049, 5.8049 Å; angles 60.00, 60.00, 60.00 degrees
With the nearest neighbours (Å) after each atom.
Positions (direct):
Ba (0.2500, 0.2500, 0.2500)  4 Ag 3.55, 4 Tl 3.55
Ba (0.7500, 0.7500, 0.7500)  4 Ag 3.55, 4 Tl 3.55
Tl (0.0000, 0.0000, 0.0000)  8 Ba 3.55
Ag (0.5000, 0.5000, 0.5000)  8 Ba 3.55

---

# 7
Computed, not measured: a crystal of EuP2Pd2 relaxed with PBEsol at the meta-GGA SCAN level of DFT.

Output
N(E_F): 5.71 states/eV/f.u.
Total DFT energy (no corrections): -144.87 eV/cell
Total moment: 1.36 μB per atom
SG: I4/mmm (139)

Cell lengths 5.6834, 5.6834, 5.6834 Å; angles 137.58, 137.58, 61.55 degrees
With the nearest neighbours (Å) after each atom.
Positions (direct):
Eu (0.0000, 0.0000, 0.0000)  8 P 3.11, 8 Pd 3.19
P (0.3870, 0.3870, 0.0000)  1 P 2.21, 4 Pd 2.45
P (0.6130, 0.6130, 0.0000)  1 P 2.21, 4 Pd 2.45
Pd (0.2500, 0.7500, 0.5000)  4 P 2.45
Pd (0.7500, 0.2500, 0.5000)  4 P 2.45

---

# 8
Computed, not measured: a crystal of TiReIrI2 relaxed with PBEsol at the meta-GGA SCAN level of DFT.

Output
N(E_F): 3.49 states/eV/f.u.
E_form (uncorrected): 1.35 eV per atom
Total DFT energy (no corrections): -224.97 eV/cell
Total moment: 0.31 μB per atom
SG: P4/mmm (123)

Cell lengths 5.2083, 5.2083, 4.7384 Å; angles 90.00, 90.00, 90.00 degrees
With the nearest neighbours (Å) after each atom.
Positions (direct):
Ti (0.0000, 0.0000, 0.0000)  8 I 3.52, 4 Ir 3.68
Re (0.5000, 0.5000, 0.5000)  2 Ir 2.37, 4 I 2.60
Ir (0.5000, 0.5000, 0.0000)  2 Re 2.37
I (0.0000, 0.5000, 0.5000)  2 Re 2.60
I (0.5000, 0.0000, 0.5000)  2 Re 2.60

---

# 9
Computed, not measured: a crystal of CdAgPt4 relaxed with PBEsol at the meta-GGA SCAN level of DFT.

Output
N(E_F): 2.64 states/eV/f.u.
Total DFT energy (no corrections): -343.35 eV/cell
Total moment: 0.00 μB per atom
SG: F-43m (216)

Cell lengths 5.2349, 5.2349, 5.2349 Å; angles 60.00, 60.00, 60.00 degrees
With the nearest neighbours (Å) after each atom.
Positions (direct):
Cd (0.0000, 0.0000, 0.0000)  12 Pt 3.07, 4 Ag 3.21
Ag (0.7500, 0.7500, 0.7500)  12 Pt 3.07, 4 Cd 3.21
Pt (0.3751, 0.3751, 0.3751)  6 Pt 2.62
Pt (0.3751, 0.3751, 0.8748)  6 Pt 2.62
Pt (0.3751, 0.8748, 0.3751)  6 Pt 2.62
Pt (0.8748, 0.3751, 0.3751)  6 Pt 2.62